(1)
A relaxed NdZn6Ga2 crystal, computed with PBE.

POSCAR file:
```
NdZn6Ga2
1.0
4.162 0.000 0.000
0.000 4.162 0.000
0.000 0.000 8.991
Nd Zn Ga
1 6 2
Direct
0.000 0.000 0.000 Nd
0.000 0.000 0.500 Zn
0.000 0.500 0.303 Zn
0.000 0.500 0.697 Zn
0.500 0.000 0.303 Zn
0.500 0.000 0.697 Zn
0.500 0.500 0.500 Zn
0.500 0.500 0.138 Ga
0.500 0.500 0.862 Ga
```

Output
Raw total energy (eV/f.u.): -20.613
Formation enthalpy at 0 K (eV per atom): -0.239

(2)
A relaxed NdZn12Ga6 crystal, computed with PBE.

POSCAR file:
```
NdZn12Ga6
1.0
5.631 3.251 3.161
-5.631 3.251 3.161
0.000 -6.502 3.161
Nd Zn Ga
1 12 6
Direct
0.000 0.000 0.000 Nd
0.108 0.500 0.892 Zn
0.108 0.892 0.500 Zn
0.130 0.371 0.371 Zn
0.371 0.130 0.371 Zn
0.371 0.371 0.130 Zn
0.500 0.108 0.892 Zn
0.500 0.892 0.108 Zn
0.629 0.629 0.870 Zn
0.629 0.870 0.629 Zn
0.870 0.629 0.629 Zn
0.892 0.108 0.500 Zn
0.892 0.500 0.108 Zn
0.290 0.706 0.706 Ga
0.294 0.294 0.710 Ga
0.294 0.710 0.294 Ga
0.706 0.290 0.706 Ga
0.706 0.706 0.290 Ga
0.710 0.294 0.294 Ga
```

Output
Raw total energy (eV/f.u.): -37.719
Formation enthalpy at 0 K (eV per atom): 0.026

(3)
A relaxed NdZr2Ga6 crystal, computed with PBE.

POSCAR file:
```
NdZr2Ga6
1.0
7.241 0.000 0.000
-3.621 6.271 0.000
0.000 0.000 3.853
Nd Zr Ga
1 2 6
Direct
0.000 0.000 0.000 Nd
0.333 0.667 0.000 Zr
0.667 0.333 0.000 Zr
0.000 0.337 0.500 Ga
0.000 0.663 0.500 Ga
0.337 0.000 0.500 Ga
0.337 0.337 0.500 Ga
0.663 0.000 0.500 Ga
0.663 0.663 0.500 Ga
```

Output
Raw total energy (eV/f.u.): -44.699
E above lowest polymorph (eV per formula unit): 0.00
Formation enthalpy at 0 K (eV per atom): -0.519

(4)
A relaxed NdZrGa4 crystal, computed with PBE.

POSCAR file:
```
NdZrGa4
1.0
-2.095 3.656 3.955
2.095 -3.656 3.955
2.095 3.656 -3.955
Nd Zr Ga
1 1 4
Direct
0.000 0.000 0.000 Nd
0.500 0.500 0.000 Zr
0.091 0.757 0.335 Ga
0.422 0.757 0.665 Ga
0.578 0.243 0.335 Ga
0.909 0.243 0.665 Ga
```

Output
Raw total energy (eV/f.u.): -28.678
E above lowest polymorph (eV per formula unit): 0.00
Formation enthalpy at 0 K (eV per atom): -0.542

(5)
A relaxed NdZr2Ga crystal, computed with PBE.

POSCAR file:
```
NdZr2Ga
1.0
4.534 0.000 0.000
0.000 4.534 0.000
0.000 0.000 4.477
Nd Zr Ga
1 2 1
Direct
0.000 0.000 0.000 Nd
0.000 0.500 0.500 Zr
0.500 0.000 0.500 Zr
0.500 0.500 0.000 Ga
```

Output
Raw total energy (eV/f.u.): -25.558
E above lowest polymorph (eV per formula unit): 0.00
Formation enthalpy at 0 K (eV per atom): -0.167

(6)
A relaxed NdZr2Ga9 crystal, computed with PBE.

POSCAR file:
```
NdZr2Ga9
1.0
4.235 0.000 0.000
0.000 4.235 0.000
0.000 0.000 12.522
Nd Zr Ga
1 2 9
Direct
0.000 0.000 0.000 Nd
0.000 0.000 0.342 Zr
0.000 0.000 0.658 Zr
0.000 0.500 0.179 Ga
0.000 0.500 0.500 Ga
0.000 0.500 0.821 Ga
0.500 0.000 0.179 Ga
0.500 0.000 0.500 Ga
0.500 0.000 0.821 Ga
0.500 0.500 0.000 Ga
0.500 0.500 0.337 Ga
0.500 0.500 0.663 Ga
```

Output
Raw total energy (eV/f.u.): -54.857
Formation enthalpy at 0 K (eV per atom): -0.479

(7)
A relaxed NdZrGa4 crystal, computed with PBE.

POSCAR file:
```
NdZrGa4
1.0
8.274 0.000 0.000
0.000 15.696 0.000
0.000 0.000 3.902
Nd Zr Ga
4 4 16
Direct
0.119 0.148 0.000 Nd
0.381 0.648 0.000 Nd
0.619 0.352 0.000 Nd
0.881 0.852 0.000 Nd
0.127 0.418 0.000 Zr
0.373 0.918 0.000 Zr
0.627 0.082 0.000 Zr
0.873 0.582 0.000 Zr
0.011 0.699 0.500 Ga
0.122 0.553 0.500 Ga
0.129 0.966 0.500 Ga
0.207 0.811 0.500 Ga
0.293 0.311 0.500 Ga
0.371 0.466 0.500 Ga
0.378 0.053 0.500 Ga
0.489 0.199 0.500 Ga
0.511 0.801 0.500 Ga
0.622 0.947 0.500 Ga
0.629 0.534 0.500 Ga
0.707 0.689 0.500 Ga
0.793 0.189 0.500 Ga
0.871 0.034 0.500 Ga
0.878 0.447 0.500 Ga
0.989 0.301 0.500 Ga
```

Output
Raw total energy (eV/f.u.): -28.429
E above lowest polymorph (eV per formula unit): 0.25
Formation enthalpy at 0 K (eV per atom): -0.501

(8)
A relaxed NdZr2Ga6 crystal, computed with PBE.

POSCAR file:
```
NdZr2Ga6
1.0
-2.102 3.466 6.408
2.102 -3.466 6.408
2.102 3.466 -6.408
Nd Zr Ga
1 2 6
Direct
0.000 0.000 0.000 Nd
0.379 0.879 0.500 Zr
0.621 0.121 0.500 Zr
0.017 0.310 0.708 Ga
0.319 0.500 0.819 Ga
0.398 0.690 0.708 Ga
0.602 0.310 0.292 Ga
0.681 0.500 0.181 Ga
0.983 0.690 0.292 Ga
```

Output
Raw total energy (eV/f.u.): -43.966
E above lowest polymorph (eV per formula unit): 0.73
Formation enthalpy at 0 K (eV per atom): -0.438

(9)
A relaxed NdZrGa4 crystal, computed with PBE.

POSCAR file:
```
NdZrGa4
1.0
0.000 3.866 3.866
3.866 0.000 3.866
3.866 3.866 0.000
Nd Zr Ga
1 1 4
Direct
0.000 0.000 0.000 Nd
0.250 0.250 0.250 Zr
0.126 0.625 0.625 Ga
0.625 0.126 0.625 Ga
0.625 0.625 0.126 Ga
0.625 0.625 0.625 Ga
```

Output
Raw total energy (eV/f.u.): -28.264
E above lowest polymorph (eV per formula unit): 0.41
Formation enthalpy at 0 K (eV per atom): -0.473

(10)
A relaxed NdZr2Ga crystal, computed with PBE.

POSCAR file:
```
NdZr2Ga
1.0
3.450 0.000 0.000
0.000 3.450 0.000
0.000 0.000 7.917
Nd Zr Ga
1 2 1
Direct
0.000 0.000 0.000 Nd
0.500 0.500 0.298 Zr
0.500 0.500 0.702 Zr
0.000 0.000 0.500 Ga
```

Output
Raw total energy (eV/f.u.): -25.395
E above lowest polymorph (eV per formula unit): 0.16
Formation enthalpy at 0 K (eV per atom): -0.126

(11)
A relaxed NdZr2Ga crystal, computed with PBE.

POSCAR file:
```
NdZr2Ga
1.0
1.601 0.924 10.912
-1.601 0.924 10.912
0.000 -1.848 10.912
Nd Zr Ga
1 2 1
Direct
0.000 0.000 0.000 Nd
0.097 0.097 0.097 Zr
0.903 0.903 0.903 Zr
0.500 0.500 0.500 Ga
```

Output
Raw total energy (eV/f.u.): -24.381
E above lowest polymorph (eV per formula unit): 1.18
Formation enthalpy at 0 K (eV per atom): 0.127

(12)
A relaxed GaNi4 crystal, computed with PBE.

POSCAR file:
```
GaNi4
1.0
4.272 0.000 0.000
0.000 4.272 0.000
0.000 0.000 4.272
Ga Ni
1 4
Direct
0.000 0.000 0.000 Ga
0.000 0.000 0.500 Ni
0.000 0.500 0.000 Ni
0.500 0.000 0.000 Ni
0.500 0.500 0.500 Ni
```

Output
Raw total energy (eV/f.u.): -21.307
Formation enthalpy at 0 K (eV per atom): 0.969